# La2TlTc, relaxed, DFT PBE
# Total energy: -5.565 eV per atom
# N(E_F): 4.9 states/eV/cell
# Density: 8.96 Mg/m³
# Calculated volume: 26.896 Å³ per atom
# Formation energy from the elements: 82 meV per atom
data_La2TlTc
_chemical_formula_sum 'La2 Tl1 Tc1'
_cell_length_a 5.255
_cell_length_b 5.255
_cell_length_c 3.895
_cell_angle_alpha 90.00
_cell_angle_beta 90.00
_cell_angle_gamma 90.00
_symmetry_space_group_name_H-M 'P 4/m m m'
_symmetry_Int_Tables_number 123
_symmetry_space_group_name_Hall '-P 4 2'
loop_
_atom_site_label
_atom_site_fract_x
_atom_site_fract_y
_atom_site_fract_z
La1 0.000 0.500 0.000
Tl1 0.000 0.000 0.500
Tc1 0.500 0.500 0.500